# ZrCdAg2 | the Alexandria database | PBE | optimized geometry
# * DOS at the Fermi energy: 0.4619 states/eV/atom
# * ΔH_f (0 K): -0.0174 eV/atom
# * total moment: 0.00 μB/cell
# * energy: -30.5 eV for the cell shown
data_ZrCdAg2
_space_group_name_H-M_alt 'I -4 m 2'
_space_group_IT_number 119
_space_group_name_Hall 'I -4 -2'
_cell_length_a 4.767
_cell_length_b 4.767
_cell_length_c 6.858
_cell_angle_alpha 90.00
_cell_angle_beta 90.00
_cell_angle_gamma 90.00
loop_
_atom_site_label
_atom_site_fract_x
_atom_site_fract_y
_atom_site_fract_z
Zr1 0.000 0.000 0.000
Cd1 0.000 0.500 0.250
Ag1 0.000 0.000 0.500
Ag2 0.000 0.500 0.750

---

# BaRhAu3 | the Alexandria database | PBE | optimized geometry
# * DOS at the Fermi energy: 0.9236 states/eV/atom
# * ΔH_f (0 K): -0.1458 eV/atom
# * relative energy among the computed polymorphs: 0 meV per atom
# * total moment: 0.00 μB/cell
# * energy: -19.8 eV for the cell shown
data_BaRhAu3
_space_group_name_H-M_alt 'P m -3 m'
_space_group_IT_number 221
_space_group_name_Hall '-P 4 2 3'
_cell_length_a 5.142
_cell_length_b 5.142
_cell_length_c 5.142
_cell_angle_alpha 90.00
_cell_angle_beta 90.00
_cell_angle_gamma 90.00
loop_
_atom_site_label
_atom_site_fract_x
_atom_site_fract_y
_atom_site_fract_z
Ba1 0.000 0.000 0.000
Rh1 0.500 0.500 0.500
Au1 0.000 0.500 0.500

---

# LiIn5Pb2 | the Alexandria database | PBE | optimized geometry
# * DOS at the Fermi energy: 0.2942 states/eV/atom
# * ΔH_f (0 K): -0.0431 eV/atom
# * total moment: 0.00 μB/cell
# * energy: -46.7 eV for the cell shown
data_LiIn5Pb2
_space_group_name_H-M_alt 'P b a m'
_space_group_IT_number 55
_space_group_name_Hall '-P 2 2ab'
_cell_length_a 7.002
_cell_length_b 13.818
_cell_length_c 4.435
_cell_angle_alpha 90.00
_cell_angle_beta 90.00
_cell_angle_gamma 90.00
loop_
_atom_site_label
_atom_site_fract_x
_atom_site_fract_y
_atom_site_fract_z
Li1 0.000 0.000 0.000
In1 0.000 0.500 0.000
In2 0.011 0.249 0.000
In3 0.243 0.628 0.500
Pb1 0.233 0.883 0.500

---

# Ba2MnMo | the Alexandria database | PBE | optimized geometry
# * DOS at the Fermi energy: 1.3029 states/eV/atom
# * ΔH_f (0 K): 0.6620 eV/atom
# * relative energy among the computed polymorphs: 131 meV per atom
# * total moment: 1.84 μB/cell
# * energy: -21.2 eV for the cell shown
data_Ba2MnMo
_space_group_name_H-M_alt 'P 4 m m'
_space_group_IT_number 99
_space_group_name_Hall 'P 4 -2'
_cell_length_a 3.533
_cell_length_b 3.533
_cell_length_c 9.862
_cell_angle_alpha 90.00
_cell_angle_beta 90.00
_cell_angle_gamma 90.00
loop_
_atom_site_label
_atom_site_fract_x
_atom_site_fract_y
_atom_site_fract_z
Ba1 0.000 0.000 0.000
Ba2 0.500 0.500 0.406
Mn1 0.000 0.000 0.664
Mo1 0.500 0.500 0.729

---

# BaCa2Al | the Alexandria database | PBE | optimized geometry
# * DOS at the Fermi energy: 1.1629 states/eV/atom
# * ΔH_f (0 K): 0.0844 eV/atom
# * total moment: 0.00 μB/cell
# * energy: -28.0 eV for the cell shown
data_BaCa2Al
_space_group_name_H-M_alt 'R -3 m'
_space_group_IT_number 166
_space_group_name_Hall '-R 3 2"'
_cell_length_a 3.9406
_cell_length_b 3.9406
_cell_length_c 35.2091
_cell_angle_alpha 90.00
_cell_angle_beta 90.00
_cell_angle_gamma 120.00
loop_
_atom_site_label
_atom_site_fract_x
_atom_site_fract_y
_atom_site_fract_z
Ba1 0.0000 0.0000 0.0000
Ca1 0.0000 0.0000 0.2322
Al1 0.0000 0.0000 0.5000

---

# ZnAs2PBr | the Alexandria database | PBE | optimized geometry
# * DOS at the Fermi energy: 1.0515 states/eV/atom
# * relative energy among the computed polymorphs: 0 meV per atom
# * formation energy from raw total energies: 0.66 eV/atom
# * total moment: 0.38 μB/cell
# * energy: -14.3 eV for the cell shown
data_ZnAs2PBr
_space_group_name_H-M_alt 'P 4/m m m'
_space_group_IT_number 123
_space_group_name_Hall '-P 4 2'
_cell_length_a 4.835
_cell_length_b 4.835
_cell_length_c 5.112
_cell_angle_alpha 90.00
_cell_angle_beta 90.00
_cell_angle_gamma 90.00
loop_
_atom_site_label
_atom_site_fract_x
_atom_site_fract_y
_atom_site_fract_z
Zn1 0.000 0.000 0.000
As1 0.000 0.500 0.500
P1 0.500 0.500 0.500
Br1 0.500 0.500 0.000